1.
VASP calculation (PBE-GGA) on an optimized crystal structure of CeGa7Fe5.

Unit cell a=6.6520 b=6.6520 c=6.6520 alpha=135.47 beta=97.92 gamma=98.59
Closest atoms and distances in Å follow each position.
Fractional positions:
Ce  0.0000  0.0000  0.0000  10 Ga 2.92-3.25, 2 Fe 3.22
Ga  0.2072  0.5002  0.7070  5 Fe 2.49-2.70, 3 Ga 2.74-2.79
Ga  0.3273  0.9847  0.3426  5 Fe 2.58-2.69, 4 Ga 2.75-2.79
Ga  0.3369  0.3369  0.0000  6 Fe 2.64-2.68, 3 Ga 2.72-2.93, 1 Ce 2.92
Ga  0.6420  0.9847  0.6574  5 Fe 2.58-2.69, 4 Ga 2.75-2.79
Ga  0.6503  0.6503  0.0000  4 Fe 2.66, 5 Ga 2.70-2.87
Ga  0.7631  0.2631  0.5000  4 Fe 2.52, 6 Ga 2.70-2.78
Ga  0.7932  0.5002  0.2930  5 Fe 2.49-2.70, 3 Ga 2.74-2.79
Fe  0.2310  0.7310  0.5000  4 Fe 2.53, 6 Ga 2.60-2.70
Fe  0.4932  0.4898  0.4966  3 Fe 2.49-2.55, 7 Ga 2.49-2.69
Fe  0.4932  0.9966  0.0034  3 Fe 2.49-2.55, 7 Ga 2.49-2.69
Fe  0.9932  0.4898  0.9966  3 Fe 2.49-2.55, 7 Ga 2.49-2.69
Fe  0.9932  0.9966  0.5034  3 Fe 2.49-2.55, 7 Ga 2.49-2.69

Energy of formation = -0.277 eV/atom

2.
VASP calculation (PBE-GGA) on an optimized crystal structure of KAc5Tl6.

Unit cell a=5.8624 b=8.2146 c=9.2881 alpha=90.00 beta=108.10 gamma=90.00
Closest atoms and distances in Å follow each position.
Fractional positions:
K  0.0000  0.0000  0.0000  8 Tl 3.60-3.62
Ac  0.0000  0.5000  0.0000  8 Tl 3.54-3.63
Ac  0.3341  0.5000  0.6677  8 Tl 3.54-3.59
Ac  0.3403  0.0000  0.6792  8 Tl 3.54-3.64
Ac  0.6597  0.0000  0.3208  8 Tl 3.54-3.64
Ac  0.6659  0.5000  0.3323  8 Tl 3.54-3.59
Tl  0.1679  0.2474  0.3368  7 Ac 3.57-3.64, 1 K 3.60
Tl  0.1679  0.7526  0.3368  7 Ac 3.57-3.64, 1 K 3.60
Tl  0.5000  0.2580  0.0000  6 Ac 3.54, 2 K 3.62
Tl  0.5000  0.7420  0.0000  6 Ac 3.54, 2 K 3.62
Tl  0.8321  0.2474  0.6632  7 Ac 3.57-3.64, 1 K 3.60
Tl  0.8321  0.7526  0.6632  7 Ac 3.57-3.64, 1 K 3.60

Energy of formation = -0.296 eV/atom

3.
VASP calculation (PBE-GGA) on an optimized crystal structure of KLiCu2.

Unit cell a=5.4443 b=5.4443 c=2.8271 alpha=90.00 beta=90.00 gamma=90.00
Closest atoms and distances in Å follow each position.
Fractional positions:
K  0.0000  0.0000  0.0000  2 K 2.83, 8 Cu 3.07
Li  0.5000  0.5000  0.0000  2 Li 2.83, 8 Cu 3.07
Cu  0.0000  0.5000  0.5000  2 Cu 2.83, 4 K 3.07, 4 Li 3.07
Cu  0.5000  0.0000  0.5000  2 Cu 2.83, 4 K 3.07, 4 Li 3.07

Energy of formation = 0.482 eV/atom
E above lowest polymorph = 331 meV/atom

4.
VASP calculation (PBE-GGA) on an optimized crystal structure of TbErAgPt.

Unit cell a=5.0113 b=5.0113 c=5.0113 alpha=60.00 beta=60.00 gamma=60.00
Closest atoms and distances in Å follow each position.
Fractional positions:
Tb  0.0000  0.0000  0.0000  4 Pt 3.07, 4 Ag 3.07
Er  0.5000  0.5000  0.5000  4 Ag 3.07, 4 Pt 3.07
Ag  0.2500  0.2500  0.2500  4 Er 3.07, 4 Tb 3.07
Pt  0.7500  0.7500  0.7500  4 Tb 3.07, 4 Er 3.07

Energy of formation = -0.793 eV/atom

5.
VASP calculation (PBE-GGA) on an optimized crystal structure of HfBeC3.

Unit cell a=3.5779 b=3.5779 c=3.5779 alpha=90.00 beta=90.00 gamma=90.00
Closest atoms and distances in Å follow each position.
Fractional positions:
Hf  0.0000  0.0000  0.0000  12 C 2.53
Be  0.5000  0.5000  0.5000  6 C 1.79
C  0.0000  0.5000  0.5000  2 Be 1.79
C  0.5000  0.0000  0.5000  2 Be 1.79
C  0.5000  0.5000  0.0000  2 Be 1.79

Energy of formation = 1.299 eV/atom
E above lowest polymorph = 0 meV/atom

6.
VASP calculation (PBE-GGA) on an optimized crystal structure of CuSiCl2.

Unit cell a=5.3460 b=3.4322 c=5.8571 alpha=90.00 beta=105.89 gamma=90.00
Closest atoms and distances in Å follow each position.
Fractional positions:
Cu  0.0000  0.0000  0.0000  1 Cl 2.20, 2 Si 2.29
Si  0.7556  0.5000  0.0845  1 Cl 2.07, 2 Cu 2.29
Cl  0.3561  0.0000  0.8813  1 Cu 2.20
Cl  0.6768  0.5000  0.4115  1 Si 2.07

Formation energy (no corrections) = -0.316 eV per atom
E above lowest polymorph = 1 meV/atom

7.
VASP calculation (PBE-GGA) on an optimized crystal structure of La5YHo.

Unit cell a=9.0002 b=9.0002 c=11.0637 alpha=123.40 beta=123.40 gamma=44.10
Closest atoms and distances in Å follow each position.
Fractional positions:
La  0.0101  0.9899  0.7500  2 Y 3.22-3.54, 6 La 3.40-3.60
La  0.0776  0.5702  0.9064  5 La 3.34-3.70, 1 Y 3.59
La  0.1609  0.6577  0.4074  6 La 3.34-3.70, 1 Ho 3.37, 2 Y 3.40-3.52
La  0.3423  0.8391  0.0926  6 La 3.34-3.70, 1 Ho 3.37, 2 Y 3.40-3.52
La  0.4298  0.9224  0.5936  5 La 3.34-3.70, 1 Y 3.59
La  0.5702  0.0776  0.4064  5 La 3.34-3.70, 1 Y 3.59
La  0.6577  0.1609  0.9074  6 La 3.34-3.70, 1 Ho 3.37, 2 Y 3.40-3.52
La  0.8391  0.3423  0.5926  6 La 3.34-3.70, 1 Ho 3.37, 2 Y 3.40-3.52
La  0.9224  0.4298  0.0936  5 La 3.34-3.70, 1 Y 3.59
La  0.9899  0.0101  0.2500  2 Y 3.22-3.54, 6 La 3.40-3.60
Y  0.4868  0.5132  0.7500  8 La 3.22-3.59
Y  0.5132  0.4868  0.2500  8 La 3.22-3.59
Ho  0.0000  0.5000  0.5000  4 La 3.37-3.74, 2 Y 3.73
Ho  0.5000  0.0000  0.0000  4 La 3.37-3.74, 2 Y 3.73

Energy of formation = 0.131 eV/atom
E above lowest polymorph = 0 meV/atom

8.
VASP calculation (PBE-GGA) on an optimized crystal structure of Nd5SmHo3.

Unit cell a=9.6464 b=9.6464 c=9.9203 alpha=120.42 beta=120.42 gamma=74.93
Closest atoms and distances in Å follow each position.
Fractional positions:
Nd  0.1054  0.6090  0.2600  2 Nd 3.39-3.47, 2 Ho 3.51-3.54
Nd  0.2296  0.2296  0.2361  3 Ho 3.25-3.41, 3 Nd 3.32-3.47, 1 Sm 3.32
Nd  0.2457  0.7543  0.0000  1 Ho 2.98
Nd  0.2732  0.2732  0.9489  3 Ho 3.17-3.43, 3 Nd 3.32-3.39, 1 Sm 3.35
Nd  0.3910  0.8946  0.7400  2 Nd 3.39-3.47, 2 Ho 3.51-3.54
Nd  0.6090  0.1054  0.2600  2 Nd 3.39-3.47, 2 Ho 3.51-3.54
Nd  0.7268  0.7268  0.0511  3 Ho 3.17-3.43, 3 Nd 3.32-3.39, 1 Sm 3.35
Nd  0.7543  0.2457  0.0000  1 Ho 2.98
Nd  0.7704  0.7704  0.7639  3 Ho 3.25-3.41, 3 Nd 3.32-3.47, 1 Sm 3.32
Nd  0.8946  0.3910  0.7400  2 Nd 3.39-3.47, 2 Ho 3.51-3.54
Sm  0.2485  0.2485  0.5881  4 Ho 3.29-3.41, 2 Nd 3.32-3.35
Sm  0.7515  0.7515  0.4119  4 Ho 3.29-3.41, 2 Nd 3.32-3.35
Ho  0.0000  0.0000  0.5000  2 Ho 3.16, 2 Sm 3.32, 4 Nd 3.51
Ho  0.0066  0.0066  0.8245  1 Ho 3.16, 5 Nd 3.25-3.43, 1 Sm 3.41
Ho  0.4861  0.4861  0.6485  2 Ho 3.23-3.36, 4 Nd 3.28-3.54, 1 Sm 3.29
Ho  0.5000  0.5000  0.0000  4 Nd 2.98-3.17
Ho  0.5139  0.5139  0.3515  2 Ho 3.23-3.36, 4 Nd 3.28-3.54, 1 Sm 3.29
Ho  0.9934  0.9934  0.1755  1 Ho 3.16, 5 Nd 3.25-3.43, 1 Sm 3.41

Energy of formation = 0.468 eV/atom
E above lowest polymorph = 190 meV/atom

9.
VASP calculation (PBE-GGA) on an optimized crystal structure of MgBeIN2.

Unit cell a=3.7197 b=3.7197 c=5.6631 alpha=90.00 beta=90.00 gamma=90.00
Closest atoms and distances in Å follow each position.
Fractional positions:
Mg  0.0000  0.0000  0.0000  4 I 2.63
Be  0.5000  0.5000  0.5000  4 N 1.86
I  0.5000  0.5000  0.0000  4 Mg 2.63, 2 Be 2.83
N  0.0000  0.5000  0.5000  2 Be 1.86
N  0.5000  0.0000  0.5000  2 Be 1.86

Formation energy (no corrections) = 1.033 eV per atom
E above lowest polymorph = 0 meV/atom

10.
VASP calculation (PBE-GGA) on an optimized crystal structure of Fe2AgAs.

Unit cell a=4.8022 b=4.8022 c=4.8022 alpha=132.88 beta=132.88 gamma=68.84
Closest atoms and distances in Å follow each position.
Fractional positions:
Fe  0.0000  0.0000  0.0000  4 As 2.71, 4 Fe 2.76, 4 Ag 2.76
Fe  0.7500  0.2500  0.5000  4 Ag 2.71, 4 As 2.76, 4 Fe 2.76
Ag  0.2500  0.7500  0.5000  8 Fe 2.71-2.76, 4 As 2.76
As  0.5000  0.5000  0.0000  8 Fe 2.71-2.76, 4 Ag 2.76

Energy of formation = 0.323 eV/atom

Number 1: electronic total energy -5.62 eV per atom, D(E_F) 0.865 states/eV/atom, total moment 8.66 μB/cell. Number 2: electronic total energy -3.28 eV per atom, D(E_F) 1.054 states/eV/atom, total moment 0.00 μB/cell. Number 3: electronic total energy -2.32 eV per atom, D(E_F) 0.199 states/eV/atom, total moment 0.00 μB/cell. Number 4: electronic total energy -5.31 eV per atom, D(E_F) 0.680 states/eV/atom, total moment 0.00 μB/cell. Number 5: electronic total energy -6.97 eV per atom, D(E_F) 0.423 states/eV/atom, total moment 0.00 μB/cell. Number 6: electronic total energy -3.62 eV per atom, D(E_F) 0.152 states/eV/atom, total moment 0.00 μB/cell. Number 7: electronic total energy -4.97 eV per atom, D(E_F) 1.521 states/eV/atom, total moment 0.00 μB/cell. Number 8: electronic total energy -4.23 eV per atom, D(E_F) 1.538 states/eV/atom, total moment 0.00 μB/cell. Number 9: electronic total energy -3.67 eV per atom, D(E_F) 0.443 states/eV/atom, total moment 1.11 μB/cell. Number 10: electronic total energy -5.78 eV per atom, D(E_F) 0.892 states/eV/atom, total moment 5.39 μB/cell.